{"formula": "HfRhW2", "functional": "PBE-GGA", "state": "optimized geometry", "lattice": [[-0.141, -2.218, 3.966], [-2.664, -3.655, 0.468], [1.856, -4.135, 0.359]], "species": ["Rh", "Hf", "W", "W"], "fractional_positions": [[0.000, 0.000, 0.000], [0.500, 0.500, 0.500], [0.250, 0.250, 0.250], [0.750, 0.750, 0.750]], "delta_e_f_ev_per_atom": 0.2407, "magnetic_moment_mub_per_fu": 0.000, "final_energy_ev_per_atom": -10.56, "e_above_lowest_polymorph_mev_per_atom": 0}